Here is crystalline ZrCdSi4 at its relaxed geometry from Alexandria via LeMat-Bulk. Energies are from PBE.

POSCAR file:
```
ZrCdSi4
1.0
0.0000 3.6515 3.6515
3.6515 0.0000 3.6515
3.6515 3.6515 0.0000
Si Cd Zr
4 1 1
Direct
0.3752 0.3752 0.3752 Si
0.8744 0.3752 0.3752 Si
0.3752 0.3752 0.8744 Si
0.3752 0.8744 0.3752 Si
0.0000 0.0000 0.0000 Cd
0.7500 0.7500 0.7500 Zr
```

Calculated values
Space group: No. 216
Calculated volume in Å³ per cell: 97.4
Formation energy (no corrections) in kJ per mole of atoms: 6